Entry 1:
A relaxed Ta3TiNb crystal. Source: the Alexandria database, functional PBE.

Results
As for the space group: P2_1/m, No. 11. The excess energy over the best structure of this formula in the dataset comes out at 304 meV per atom. The volume is 19.07 Å³ per atom. For the formation energy, the calculation gives 0.33 eV/atom.

a = 2.9047 Å, b = 9.2181 Å, c = 7.1640 Å
α = 90.00°, β = 96.12°, γ = 90.00°
Positions (direct):
Ta1 0.1391 0.2500 0.4302
Ta2 0.2839 0.5884 0.8722
Ta3 0.2839 0.9116 0.8722
Ta4 0.7161 0.0884 0.1278
Ta5 0.7161 0.4116 0.1278
Ta6 0.8609 0.7500 0.5698
Ti1 0.0330 0.7500 0.1922
Ti2 0.9670 0.2500 0.8078
Nb1 0.5000 0.0000 0.5000
Nb2 0.5000 0.5000 0.5000

Entry 2:
A relaxed PmCd4In4 crystal. Source: the Alexandria database, functional PBE.

Results
As for the space group: P4_2/nmc, No. 137. The volume is 26.22 Å³ per atom. For the formation energy, the calculation gives -0.05 eV/atom.

a = 6.5234 Å, b = 6.5234 Å, c = 11.0904 Å
α = 90.00°, β = 90.00°, γ = 90.00°
Positions (direct):
Pm1 0.2500 0.7500 0.2500
Pm2 0.7500 0.2500 0.7500
Cd1 0.0379 0.2500 0.1984
Cd2 0.2500 0.0379 0.6984
Cd3 0.2500 0.4621 0.6984
Cd4 0.4621 0.2500 0.1984
Cd5 0.5379 0.7500 0.8016
Cd6 0.7500 0.5379 0.3016
Cd7 0.7500 0.9621 0.3016
Cd8 0.9621 0.7500 0.8016
In1 0.0058 0.2500 0.4776
In2 0.2500 0.0058 0.9776
In3 0.2500 0.4942 0.9776
In4 0.4942 0.2500 0.4776
In5 0.5058 0.7500 0.5224
In6 0.7500 0.5058 0.0224
In7 0.7500 0.9942 0.0224
In8 0.9942 0.7500 0.5224

Entry 3:
A relaxed HfTcN2F crystal. Source: the Alexandria database, functional PBE.

Results
The value obtained for the uncorrected formation energy is -0.1324 eV/atom. As for the space group: P4/mmm, No. 123. The excess energy over the best structure of this formula in the dataset comes out at 71 meV per atom. The volume is 12.12 Å³ per atom.

a = 3.9284 Å, b = 3.9284 Å, c = 3.9255 Å
α = 90.00°, β = 90.00°, γ = 90.00°
Positions (direct):
Hf1 0.0000 0.0000 0.0000
Tc1 0.5000 0.5000 0.5000
N1 0.0000 0.5000 0.5000
N2 0.5000 0.0000 0.5000
F1 0.5000 0.5000 0.0000

Entry 4:
A relaxed Ac2ZnRhPb crystal. Source: the Alexandria database, functional PBE.

Results
As for the space group: P2_1/m, No. 11. The volume is 28.85 Å³ per atom. For the formation energy, the calculation gives -0.54 eV/atom.

a = 7.6757 Å, b = 4.6501 Å, c = 8.5089 Å
α = 90.00°, β = 108.22°, γ = 90.00°
Positions (direct):
Ac1 0.1378 0.2500 0.3374
Ac2 0.2831 0.2500 0.9549
Ac3 0.7169 0.7500 0.0451
Ac4 0.8622 0.7500 0.6626
Zn1 0.4363 0.7500 0.3081
Zn2 0.5637 0.2500 0.6919
Rh1 0.1173 0.7500 0.0881
Rh2 0.8827 0.2500 0.9119
Pb1 0.3309 0.7500 0.6499
Pb2 0.6691 0.2500 0.3501

Entry 5:
A relaxed CoNi2Ir2 crystal. Source: the Alexandria database, functional PBE.

Results
As for the space group: P4/mbm, No. 127. The excess energy over the best structure of this formula in the dataset comes out at 0 meV per atom. The volume is 13.27 Å³ per atom. For the formation energy, the calculation gives 0.33 eV/atom.

a = 7.0315 Å, b = 7.0315 Å, c = 2.6849 Å
α = 90.00°, β = 90.00°, γ = 90.00°
Positions (direct):
Co1 0.0000 0.0000 0.0000
Co2 0.5000 0.5000 0.0000
Ni1 0.1211 0.3789 0.0000
Ni2 0.3789 0.8789 0.0000
Ni3 0.6211 0.1211 0.0000
Ni4 0.8789 0.6211 0.0000
Ir1 0.1764 0.6764 0.5000
Ir2 0.3236 0.1764 0.5000
Ir3 0.6764 0.8236 0.5000
Ir4 0.8236 0.3236 0.5000

Entry 6:
A relaxed TaCr2As crystal. Source: the Alexandria database, functional PBE.

Results
As for the space group: C2/m, No. 12. The volume is 14.21 Å³ per atom. For the formation energy, the calculation gives 0.07 eV/atom.

a = 4.5805 Å, b = 4.5805 Å, c = 4.3896 Å
α = 107.27°, β = 107.27°, γ = 40.58°
Positions (direct):
Ta1 0.0000 0.0000 0.0000
Cr1 0.2392 0.2392 0.7089
Cr2 0.7608 0.7608 0.2911
As1 0.5000 0.5000 0.5000